(1)
Below is crystalline SrTeN2F at its relaxed geometry, with properties calculated at the PBEsol level.

Lattice parameters (Å, degrees): 4.1237 4.1237 4.4415 90.00 90.00 90.00
Element x y z (fractional)
Sr 0.0000 0.0000 0.0000
Te 0.5000 0.5000 0.5000
N 0.0000 0.5000 0.5000
N 0.5000 0.0000 0.5000
F 0.5000 0.5000 0.0000

## Properties
* space-group type: P4/mmm, No. 123
* formation energy (no corrections): -0.497 eV per atom

=====

(2)
Below is crystalline AlGeN2O at its relaxed geometry, with properties calculated at the PBEsol level.

Lattice parameters (Å, degrees): 3.7597 3.7597 3.6462 90.00 90.00 90.00
Element x y z (fractional)
Al 0.0000 0.0000 0.0000
Ge 0.5000 0.5000 0.5000
N 0.0000 0.5000 0.5000
N 0.5000 0.0000 0.5000
O 0.5000 0.5000 0.0000

## Properties
* space-group type: P4/mmm, No. 123
* formation energy (no corrections): 0.321 eV per atom

=====

(3)
Below is crystalline Cr2TcP at its relaxed geometry, with properties calculated at the PBEsol level.

Lattice parameters (Å, degrees): 4.0443 4.0443 4.0443 60.00 60.00 60.00
Element x y z (fractional)
Cr 0.0000 0.0000 0.0000
Cr 0.2500 0.2500 0.2500
Tc 0.7500 0.7500 0.7500
P 0.5000 0.5000 0.5000

## Properties
* formation energy: -0.165 eV/atom
* space-group type: F-43m, No. 216

=====

(4)
Below is crystalline LaIn2Se at its relaxed geometry, with properties calculated at the PBEsol level.

Lattice parameters (Å, degrees): 5.2115 5.2115 5.2115 60.00 60.00 60.00
Element x y z (fractional)
La 0.0000 0.0000 0.0000
In 0.2500 0.2500 0.2500
In 0.5000 0.5000 0.5000
Se 0.7500 0.7500 0.7500

## Properties
* space-group type: F-43m, No. 216
* formation energy (no corrections): -0.649 eV per atom

=====

(5)
Below is crystalline LiTl4Te at its relaxed geometry, with properties calculated at the PBEsol level.

Lattice parameters (Å, degrees): 6.3413 6.3413 6.3413 60.00 60.00 60.00
Element x y z (fractional)
Li 0.0000 0.0000 0.0000
Tl 0.3750 0.3750 0.3750
Tl 0.3750 0.3750 0.8750
Tl 0.3750 0.8750 0.3750
Tl 0.8750 0.3750 0.3750
Te 0.7500 0.7500 0.7500

## Properties
* space-group type: F-43m, No. 216
* formation energy (no corrections): 0.012 eV per atom

=====

(6)
Below is crystalline PuGa4Pt at its relaxed geometry, with properties calculated at the PBEsol level.

Lattice parameters (Å, degrees): 8.0852 8.0852 6.4680 90.00 90.00 149.81
Element x y z (fractional)
Pu 0.1164 0.8836 0.7500
Pu 0.8836 0.1164 0.2500
Ga 0.0635 0.9365 0.2500
Ga 0.3220 0.6780 0.5449
Ga 0.3220 0.6780 0.9551
Ga 0.5000 0.5000 0.0000
Ga 0.5000 0.5000 0.5000
Ga 0.6780 0.3220 0.0449
Ga 0.6780 0.3220 0.4551
Ga 0.9365 0.0635 0.7500
Pt 0.2194 0.7806 0.2500
Pt 0.7806 0.2194 0.7500

## Properties
* formation energy: -0.469 eV/atom
* space-group type: Cmcm, No. 63

=====

(7)
Below is crystalline KSn2Au4 at its relaxed geometry, with properties calculated at the PBEsol level.

Lattice parameters (Å, degrees): 7.4714 7.4714 7.4714 107.59 107.59 113.31
Element x y z (fractional)
K 0.2500 0.2500 0.0000
K 0.7500 0.7500 0.0000
Sn 0.1440 0.6440 0.7880
Sn 0.3560 0.1440 0.5000
Sn 0.6440 0.8560 0.5000
Sn 0.8560 0.3560 0.2120
Au 0.0162 0.8162 0.5000
Au 0.1838 0.6838 0.1999
Au 0.3162 0.5162 0.5000
Au 0.4838 0.9838 0.8001
Au 0.5162 0.0162 0.1999
Au 0.6838 0.4838 0.5000
Au 0.8162 0.3162 0.8001
Au 0.9838 0.1838 0.5000

## Properties
* formation energy: -0.235 eV/atom
* space-group type: I4/mcm, No. 140

=====

(8)
Below is crystalline Er2CdHg at its relaxed geometry, with properties calculated at the PBEsol level.

Lattice parameters (Å, degrees): 5.1344 5.1344 5.1344 60.00 60.00 60.00
Element x y z (fractional)
Er 0.2500 0.2500 0.2500
Er 0.7500 0.7500 0.7500
Cd 0.0000 0.0000 0.0000
Hg 0.5000 0.5000 0.5000

## Properties
* formation energy: -0.456 eV/atom
* space-group type: Fm-3m, No. 225

=====

(9)
Below is crystalline Y2OsPt at its relaxed geometry, with properties calculated at the PBEsol level.

Lattice parameters (Å, degrees): 8.2538 8.2538 8.2538 24.43 24.43 24.43
Element x y z (fractional)
Y 0.2500 0.2500 0.2500
Y 0.7500 0.7500 0.7500
Os 0.0000 0.0000 0.0000
Pt 0.5000 0.5000 0.5000

## Properties
* formation energy: -0.176 eV/atom
* space-group type: R-3m, No. 166

=====

(10)
Below is crystalline CaCu2 at its relaxed geometry, with properties calculated at the PBEsol level.

Lattice parameters (Å, degrees): 5.3792 4.0856 10.1365 90.00 90.00 90.00
Element x y z (fractional)
Ca 0.1247 0.2500 0.1389
Ca 0.3753 0.7500 0.6389
Ca 0.6247 0.2500 0.3611
Ca 0.8753 0.7500 0.8611
Cu 0.1138 0.2500 0.4677
Cu 0.1772 0.7500 0.3475
Cu 0.3228 0.2500 0.8475
Cu 0.3862 0.7500 0.9677
Cu 0.6138 0.2500 0.0323
Cu 0.6772 0.7500 0.1525
Cu 0.8228 0.2500 0.6525
Cu 0.8862 0.7500 0.5323

## Properties
* formation energy: -0.013 eV/atom
* space-group type: Pnma, No. 62

=====

(11)
Below is crystalline Ba2SbN at its relaxed geometry, with properties calculated at the PBEsol level.

Lattice parameters (Å, degrees): 5.5886 5.5886 5.5886 60.00 60.00 60.00
Element x y z (fractional)
Ba 0.2500 0.2500 0.2500
Ba 0.7500 0.7500 0.7500
Sb 0.0000 0.0000 0.0000
N 0.5000 0.5000 0.5000

## Properties
* space-group type: Fm-3m, No. 225
* formation energy (no corrections): 0.010 eV per atom

=====

(12)
Below is crystalline TeSe at its relaxed geometry, with properties calculated at the PBEsol level.

Lattice parameters (Å, degrees): 4.1185 4.1566 11.1063 89.18 89.76 60.58
Element x y z (fractional)
Te 0.0000 0.0000 0.0000
Te 0.0109 0.9835 0.5164
Te 0.7142 0.6988 0.3370
Se 0.4567 0.2404 0.1653
Se 0.4625 0.2444 0.6817
Se 0.7082 0.7458 0.8379

## Properties
* space-group type: P1, No. 1
* formation energy (no corrections): -0.018 eV per atom

=====

(13)
Below is crystalline LaTa2Ag at its relaxed geometry, with properties calculated at the PBEsol level.

Lattice parameters (Å, degrees): 10.8337 10.8337 10.8337 15.56 15.56 15.56
Element x y z (fractional)
La 0.0000 0.0000 0.0000
Ta 0.2413 0.2413 0.2413
Ta 0.7587 0.7587 0.7587
Ag 0.5000 0.5000 0.5000

## Properties
* ΔE to the lowest computed polymorph: 0.000 eV/atom
* formation energy: 0.554 eV/atom
* space-group type: R-3m, No. 166

=====

(14)
Below is crystalline GeIr3C at its relaxed geometry, with properties calculated at the PBEsol level.

Lattice parameters (Å, degrees): 4.4798 4.4798 4.4798 90.00 90.00 90.00
Element x y z (fractional)
Ge 0.0000 0.0000 0.0000
Ir 0.0000 0.0000 0.5000
Ir 0.0000 0.5000 0.0000
Ir 0.5000 0.0000 0.0000
C 0.5000 0.5000 0.5000

## Properties
* formation energy: 2.702 eV/atom
* space-group type: Pm-3m, No. 221

=====

(15)
Below is crystalline CaTiCuP3O12 at its relaxed geometry, with properties calculated at the PBEsol level.

Lattice parameters (Å, degrees): 8.7285 8.7285 8.7285 58.52 58.52 58.52
Element x y z (fractional)
Ca 0.0000 0.0000 0.0000
Ca 0.5000 0.5000 0.5000
Ti 0.3518 0.3518 0.3518
Ti 0.8518 0.8518 0.8518
Cu 0.1440 0.1440 0.1440
Cu 0.6440 0.6440 0.6440
P 0.0336 0.7488 0.4570
P 0.2488 0.5336 0.9570
P 0.4570 0.0336 0.7488
P 0.5336 0.9570 0.2488
P 0.7488 0.4570 0.0336
P 0.9570 0.2488 0.5336
O 0.0586 0.9181 0.2680
O 0.0734 0.7221 0.9444
O 0.1263 0.2921 0.4974
O 0.2178 0.3675 0.9752
O 0.2221 0.5734 0.4444
O 0.2680 0.0586 0.9181
O 0.2921 0.4974 0.1263
O 0.3675 0.9752 0.2178
O 0.4181 0.5586 0.7680
O 0.4444 0.2221 0.5734
O 0.4752 0.8675 0.7178
O 0.4974 0.1263 0.2921
O 0.5586 0.7680 0.4181
O 0.5734 0.4444 0.2221
O 0.6263 0.9974 0.7921
O 0.7178 0.4752 0.8675
O 0.7221 0.9444 0.0734
O 0.7680 0.4181 0.5586
O 0.7921 0.6263 0.9974
O 0.8675 0.7178 0.4752
O 0.9181 0.2680 0.0586
O 0.9444 0.0734 0.7221
O 0.9752 0.2178 0.3675
O 0.9974 0.7921 0.6263

## Properties
* space-group type: R3c, No. 161
* formation energy (no corrections): -2.260 eV per atom

=====

(16)
Below is crystalline Na2TiPCO7 at its relaxed geometry, with properties calculated at the PBEsol level.

Lattice parameters (Å, degrees): 5.2266 6.5188 9.0209 90.00 90.98 90.00
Element x y z (fractional)
Na 0.2411 0.0048 0.2720
Na 0.2411 0.4952 0.2720
Na 0.7589 0.5048 0.7280
Na 0.7589 0.9952 0.7280
Ti 0.2105 0.2500 0.8521
Ti 0.7895 0.7500 0.1479
P 0.2907 0.7500 0.9258
P 0.7093 0.2500 0.0742
C 0.2743 0.2500 0.5787
C 0.7257 0.7500 0.4213
O 0.0484 0.2500 0.6401
O 0.1599 0.7500 0.0790
O 0.2064 0.5570 0.8382
O 0.2064 0.9430 0.8382
O 0.3092 0.2500 0.4419
O 0.4131 0.2500 0.0531
O 0.4637 0.2500 0.6780
O 0.5363 0.7500 0.3220
O 0.5869 0.7500 0.9469
O 0.6908 0.7500 0.5581
O 0.7936 0.0570 0.1618
O 0.7936 0.4430 0.1618
O 0.8401 0.2500 0.9210
O 0.9516 0.7500 0.3599

## Properties
* space-group type: P2_1/m, No. 11
* formation energy (no corrections): -2.150 eV per atom

=====

(17)
Below is crystalline MnReP2 at its relaxed geometry, with properties calculated at the PBEsol level.

Lattice parameters (Å, degrees): 7.7950 7.7950 7.7950 151.04 151.04 41.41
Element x y z (fractional)
Mn 0.0000 0.0000 0.0000
Mn 0.7500 0.2500 0.5000
Re 0.2500 0.7500 0.5000
Re 0.5000 0.5000 0.0000
P 0.0845 0.6250 0.9595
P 0.3750 0.3345 0.4595
P 0.6655 0.1250 0.0405
P 0.8750 0.9155 0.5405

## Properties
* ΔE to the lowest computed polymorph: 0.000 eV/atom
* formation energy: 0.100 eV/atom
* space-group type: I-42d, No. 122

=====

(18)
Below is crystalline KBi2SbPt at its relaxed geometry, with properties calculated at the PBEsol level.

Lattice parameters (Å, degrees): 5.5600 5.5600 5.2308 90.00 90.00 90.00
Element x y z (fractional)
K 0.0000 0.0000 0.0000
Bi 0.0000 0.5000 0.5000
Bi 0.5000 0.0000 0.5000
Sb 0.5000 0.5000 0.0000
Pt 0.5000 0.5000 0.5000

## Properties
* space-group type: P4/mmm, No. 123
* formation energy (no corrections): 0.069 eV per atom

=====

(19)
Below is crystalline Li3Pt at its relaxed geometry, with properties calculated at the PBEsol level.

Lattice parameters (Å, degrees): 6.6586 6.6586 6.6586 142.26 142.26 54.44
Element x y z (fractional)
Li 0.0000 0.5000 0.5000
Li 0.1417 0.1417 0.0000
Li 0.2500 0.7500 0.5000
Li 0.5000 0.0000 0.5000
Li 0.7500 0.2500 0.5000
Li 0.8583 0.8583 0.0000
Pt 0.3822 0.3822 0.0000
Pt 0.6178 0.6178 0.0000

## Properties
* ΔE to the lowest computed polymorph: 0.004 eV/atom
* formation energy: -0.350 eV/atom
* space-group type: I4/mmm, No. 139

=====

(20)
Below is crystalline CsSO2F at its relaxed geometry, with properties calculated at the PBEsol level.

Lattice parameters (Å, degrees): 4.3422 4.3422 5.1889 90.00 90.00 90.00
Element x y z (fractional)
Cs 0.0000 0.0000 0.0000
S 0.5000 0.5000 0.5000
O 0.0000 0.5000 0.0000
O 0.5000 0.0000 0.0000
F 0.0000 0.0000 0.5000

## Properties
* space-group type: P4/mmm, No. 123
* formation energy (no corrections): 0.714 eV per atom

=====

(21)
Below is crystalline Cu2SeBr at its relaxed geometry, with properties calculated at the PBEsol level.

Lattice parameters (Å, degrees): 6.7268 6.7268 6.7268 131.51 131.51 71.00
Element x y z (fractional)
Cu 0.1011 0.6250 0.9761
Cu 0.3750 0.3511 0.4761
Cu 0.6489 0.1250 0.0239
Cu 0.8750 0.8989 0.5239
Se 0.0000 0.0000 0.0000
Se 0.7500 0.2500 0.5000
Br 0.2500 0.7500 0.5000
Br 0.5000 0.5000 0.0000

## Properties
* space-group type: I-42d, No. 122
* formation energy (no corrections): -0.159 eV per atom

=====

(22)
Below is crystalline ReRh at its relaxed geometry, with properties calculated at the PBEsol level.

Lattice parameters (Å, degrees): 7.9652 7.9652 7.9652 152.06 151.82 40.10
Element x y z (fractional)
Re 0.3103 0.0603 0.2500
Re 0.4342 0.6842 0.7500
Re 0.5658 0.3158 0.2500
Re 0.6897 0.9397 0.7500
Rh 0.0604 0.8104 0.2500
Rh 0.1850 0.4350 0.7500
Rh 0.8150 0.5650 0.2500
Rh 0.9396 0.1896 0.7500

## Properties
* ΔE to the lowest computed polymorph: 0.105 eV/atom
* formation energy: -0.098 eV/atom
* space-group type: Imma, No. 74

=====

(23)
Below is crystalline LiOsRh2 at its relaxed geometry, with properties calculated at the PBEsol level.

Lattice parameters (Å, degrees): 3.8665 3.8665 3.5094 90.00 90.00 90.00
Element x y z (fractional)
Li 0.0000 0.0000 0.0000
Os 0.5000 0.5000 0.0000
Rh 0.0000 0.5000 0.5000
Rh 0.5000 0.0000 0.5000

## Properties
* ΔE to the lowest computed polymorph: 0.121 eV/atom
* formation energy: 0.240 eV/atom
* space-group type: P4/mmm, No. 123

=====

(24)
Below is crystalline Li3MnV4O8 at its relaxed geometry, with properties calculated at the PBEsol level.

Lattice parameters (Å, degrees): 5.6674 5.6674 5.8365 119.12 119.12 60.62
Element x y z (fractional)
Li 0.0000 0.0000 0.0000
Li 0.0000 0.5000 0.0000
Li 0.5000 0.0000 0.0000
Mn 0.5000 0.5000 0.5000
V 0.0000 0.0000 0.5000
V 0.0000 0.5000 0.5000
V 0.5000 0.0000 0.5000
V 0.5000 0.5000 0.0000
O 0.2505 0.2505 0.7520
O 0.2524 0.2524 0.2621
O 0.2532 0.7399 0.2525
O 0.2601 0.7468 0.7475
O 0.7399 0.2532 0.2525
O 0.7468 0.2601 0.7475
O 0.7476 0.7476 0.7379
O 0.7495 0.7495 0.2480

## Properties
* space-group type: C2/m, No. 12
* formation energy (no corrections): -2.047 eV per atom

=====

Number 1: total magnetic moment 0.00 Bohr magnetons per cell, calculated volume 75.5 Å³/cell. Number 2: total magnetic moment 0.00 Bohr magnetons per cell, calculated volume 51.5 Å³/cell. Number 3: total magnetic moment 0.79 Bohr magnetons per cell, calculated volume 46.8 Å³/cell. Number 4: total magnetic moment 0.00 Bohr magnetons per cell, calculated volume 100.1 Å³/cell. Number 5: total magnetic moment 0.00 Bohr magnetons per cell, calculated volume 180.3 Å³/cell. Number 6: total magnetic moment 10.61 Bohr magnetons per cell, calculated volume 212.6 Å³/cell. Number 7: total magnetic moment 0.00 Bohr magnetons per cell, calculated volume 320.0 Å³/cell. Number 8: total magnetic moment 0.00 Bohr magnetons per cell, calculated volume 95.7 Å³/cell. Number 9: total magnetic moment 0.00 Bohr magnetons per cell, calculated volume 84.5 Å³/cell. Number 10: total magnetic moment 0.00 Bohr magnetons per cell, calculated volume 222.8 Å³/cell. Number 11: total magnetic moment 2.00 Bohr magnetons per cell, calculated volume 123.4 Å³/cell. Number 12: total magnetic moment 0.00 Bohr magnetons per cell, calculated volume 165.6 Å³/cell. Number 13: total magnetic moment 0.00 Bohr magnetons per cell, calculated volume 79.7 Å³/cell. Number 14: total magnetic moment 0.00 Bohr magnetons per cell, calculated volume 89.9 Å³/cell. Number 15: total magnetic moment 0.00 Bohr magnetons per cell, calculated volume 454.3 Å³/cell. Number 16: total magnetic moment 2.00 Bohr magnetons per cell, calculated volume 307.3 Å³/cell. Number 17: total magnetic moment 1.84 Bohr magnetons per cell, calculated volume 110.8 Å³/cell. Number 18: total magnetic moment 0.00 Bohr magnetons per cell, calculated volume 161.7 Å³/cell. Number 19: total magnetic moment 0.00 Bohr magnetons per cell, calculated volume 109.9 Å³/cell. Number 20: total magnetic moment 3.02 Bohr magnetons per cell, calculated volume 97.8 Å³/cell. Number 21: total magnetic moment 0.00 Bohr magnetons per cell, calculated volume 167.1 Å³/cell. Number 22: total magnetic moment 0.00 Bohr magnetons per cell, calculated volume 111.6 Å³/cell. Number 23: total magnetic moment 0.00 Bohr magnetons per cell, calculated volume 52.5 Å³/cell. Number 24: total magnetic moment 2.10 Bohr magnetons per cell, calculated volume 134.9 Å³/cell.